# Tm2PuRu (GGA-PBE, optimized geometry)
data_Tm2PuRu
_chemical_formula_sum 'Tm8 Pu4 Ru4'
_cell_length_a 7.102
_cell_length_b 9.235
_cell_length_c 6.185
_cell_angle_alpha 90.00
_cell_angle_beta 90.00
_cell_angle_gamma 90.00
_space_group_name_H-M_alt 'P 1'
_space_group_IT_number 1
loop_
_space_group_symop_operation_xyz
'x,y,z'
loop_
_atom_site_label
_atom_site_fract_x
_atom_site_fract_y
_atom_site_fract_z
_atom_site_occupancy
Tm1 0.175 0.064 0.170 1
Tm2 0.175 0.436 0.170 1
Tm3 0.325 0.564 0.670 1
Tm4 0.325 0.936 0.670 1
Tm5 0.675 0.064 0.330 1
Tm6 0.675 0.436 0.330 1
Tm7 0.825 0.564 0.830 1
Tm8 0.825 0.936 0.830 1
Pu1 0.044 0.250 0.648 1
Pu2 0.456 0.750 0.148 1
Pu3 0.544 0.250 0.852 1
Pu4 0.956 0.750 0.352 1
Ru1 0.129 0.750 0.983 1
Ru2 0.371 0.250 0.483 1
Ru3 0.629 0.750 0.517 1
Ru4 0.871 0.250 0.017 1
# Energy above the most stable polymorph in this dataset in eV per atom: 0.000
# ΔH_f (0 K) in eV/atom: -0.2595
# Total DFT energy (no corrections) in eV for the cell shown: -134.355
# Space-group type: Pnma, No. 62



# Y3ScNi (GGA-PBE, optimized geometry)
data_Y3ScNi
_chemical_formula_sum 'Y3 Sc1 Ni1'
_cell_length_a 5.355
_cell_length_b 5.355
_cell_length_c 5.355
_cell_angle_alpha 90.00
_cell_angle_beta 90.00
_cell_angle_gamma 90.00
_space_group_name_H-M_alt 'P 1'
_space_group_IT_number 1
loop_
_space_group_symop_operation_xyz
'x,y,z'
loop_
_atom_site_label
_atom_site_fract_x
_atom_site_fract_y
_atom_site_fract_z
_atom_site_occupancy
Y1 0.000 0.000 0.500 1
Y2 0.000 0.500 0.000 1
Y3 0.500 0.000 0.000 1
Sc1 0.000 0.000 0.000 1
Ni1 0.500 0.500 0.500 1
# Energy above the most stable polymorph in this dataset in eV per atom: 1.033
# ΔH_f (0 K) in eV/atom: 1.0762
# Total DFT energy (no corrections) in eV for the cell shown: -26.124
# Space-group type: Pm-3m, No. 221



# Al3MoBr (GGA-PBE, optimized geometry)
data_Al3MoBr
_chemical_formula_sum 'Al3 Mo1 Br1'
_cell_length_a 5.033
_cell_length_b 5.033
_cell_length_c 5.033
_cell_angle_alpha 90.00
_cell_angle_beta 90.00
_cell_angle_gamma 90.00
_space_group_name_H-M_alt 'P 1'
_space_group_IT_number 1
loop_
_space_group_symop_operation_xyz
'x,y,z'
loop_
_atom_site_label
_atom_site_fract_x
_atom_site_fract_y
_atom_site_fract_z
_atom_site_occupancy
Al1 0.000 0.000 0.500 1
Al2 0.000 0.500 0.000 1
Al3 0.500 0.000 0.000 1
Mo1 0.000 0.000 0.000 1
Br1 0.500 0.500 0.500 1
# Energy above the most stable polymorph in this dataset in eV per atom: 0.000
# Formation energy from raw total energies in meV per atom: 631
# Total DFT energy (no corrections) in eV for the cell shown: -20.576
# Space-group type: Pm-3m, No. 221